A geometry-optimized Rb2NbRu structure. Source: the Alexandria database, functional PBE.

Geometry as POSCAR:
```
Rb2NbRu
1.0
0.000 4.079 4.079
4.079 0.000 4.079
4.079 4.079 0.000
Rb Ru Nb
2 1 1
Direct
0.250 0.250 0.250
0.750 0.750 0.750
0.500 0.500 0.500
0.000 0.000 0.000
```

Calculated formation energy: 2263 meV/atom